1.
This record from Alexandria describes a relaxed CdAs2Ir crystal. The functional is PBE.

Lattice parameters (Å, degrees): 2.9810 2.9810 8.5906 90.00 90.00 90.00
Element x y z (fractional)
1 As 0.5000 0.5000 0.2637
2 As 0.0000 0.0000 0.9390
3 Ir 0.5000 0.5000 0.7714
4 Cd 0.0000 0.0000 0.5259

Values from the calculation:
Symmetry   P4mm, No. 99
Energy of formation from the pure elements   0.067 eV per atom

2.
This record from Alexandria describes a relaxed CdAs2Ir crystal. The functional is PBE.

Lattice parameters (Å, degrees): 4.0767 3.0333 6.8842 71.13 90.00 90.00
Element x y z (fractional)
1 As 0.0000 0.7719 0.9396
2 As 0.5000 0.2242 0.3235
3 Cd 0.0000 0.5768 0.5166
4 Ir 0.5000 0.9270 0.7203

Values from the calculation:
Symmetry   Pm, No. 6
Energy of formation from the pure elements   0.196 eV per atom

3.
This record from Alexandria describes a relaxed CdAsIr3 crystal. The functional is PBE.

Lattice parameters (Å, degrees): 4.5844 4.5844 4.5844 90.00 90.00 90.00
Element x y z (fractional)
1 Cd 0.5000 0.5000 0.5000
2 Ir 0.0000 0.5000 0.0000
3 Ir 0.5000 0.0000 0.0000
4 Ir 0.0000 0.0000 0.5000
5 As 0.0000 0.0000 0.0000

Values from the calculation:
Energy relative to the lowest polymorph listed for this composition   0 meV per atom
Symmetry   Pm-3m, No. 221
Energy of formation from the pure elements   0.828 eV per atom

4.
This record from Alexandria describes a relaxed CdAs2Ir crystal. The functional is PBE.

Lattice parameters (Å, degrees): 3.0704 3.0704 8.0682 90.00 90.00 90.01
Element x y z (fractional)
1 Cd 0.5000 0.5000 0.2500
2 As 0.0000 0.0000 0.9464
3 As 0.0000 0.0000 0.5536
4 Ir 0.5000 0.5000 0.7500

Values from the calculation:
Symmetry   P4/mmm, No. 123
Energy of formation from the pure elements   0.078 eV per atom

5.
This record from Alexandria describes a relaxed CdAs2Ir crystal. The functional is PBE.

Lattice parameters (Å, degrees): 5.1200 5.1200 5.1200 132.57 132.57 69.33
Element x y z (fractional)
1 As 0.2500 0.7500 0.5000
2 As 0.0000 0.0000 0.0000
3 Cd 0.5000 0.5000 0.0000
4 Ir 0.7500 0.2500 0.5000

Values from the calculation:
Symmetry   I-4m2, No. 119
Energy of formation from the pure elements   0.364 eV per atom

6.
This record from Alexandria describes a relaxed Cd3AsIr crystal. The functional is PBE.

Lattice parameters (Å, degrees): 5.1462 5.1462 5.1462 90.00 90.00 90.00
Site moments in Bohr magnetons follow the coordinates.
Element x y z (fractional)
1 Cd 0.0000 0.0000 0.5000  0.00
2 Cd 0.5000 0.0000 0.0000  0.00
3 Cd 0.0000 0.5000 0.0000  0.00
4 Ir 0.0000 0.0000 0.0000  0.04
5 As 0.5000 0.5000 0.5000  0.06

Values from the calculation:
Energy relative to the lowest polymorph listed for this composition   0 meV per atom
Symmetry   Pm-3m, No. 221
Energy of formation from the pure elements   0.652 eV per atom

7.
This record from Alexandria describes a relaxed CdAs2Ir crystal. The functional is PBE.

Lattice parameters (Å, degrees): 3.9762 5.0012 5.1635 63.38 90.00 90.00
Element x y z (fractional)
1 As 0.0000 0.9698 0.8596
2 As 0.0000 0.5302 0.6404
3 Cd 0.5000 0.2500 0.2500
4 Ir 0.5000 0.7500 0.7500

Values from the calculation:
Symmetry   P2/m, No. 10
Energy of formation from the pure elements   0.003 eV per atom

8.
This record from Alexandria describes a relaxed CdAsIr crystal. The functional is PBE.

Lattice parameters (Å, degrees): 6.5738 6.5742 3.0148 76.74 76.74 26.51
Element x y z (fractional)
1 Cd 0.3155 0.3153 0.6845
2 As 0.0350 0.0351 0.9650
3 Ir 0.6495 0.6496 0.3505

Values from the calculation:
Energy relative to the lowest polymorph listed for this composition   27 meV per atom
Symmetry   I4mm, No. 107
Energy of formation from the pure elements   -0.035 eV per atom

9.
This record from Alexandria describes a relaxed CdAs2Ir crystal. The functional is PBE.

Lattice parameters (Å, degrees): 4.5253 4.5253 6.5155 70.47 70.47 41.18
Element x y z (fractional)
1 Ir 0.2198 0.2198 0.0740
2 As 0.9108 0.9108 0.1607
3 As 0.7884 0.7884 0.7547
4 Cd 0.5811 0.5811 0.5107

Values from the calculation:
Symmetry   Cm, No. 8
Energy of formation from the pure elements   -0.004 eV per atom

10.
This record from Alexandria describes a relaxed CdAsIr crystal. The functional is PBE.

Lattice parameters (Å, degrees): 4.1355 4.1355 3.9632 90.00 90.00 120.00
Element x y z (fractional)
1 Ir 0.6667 0.3333 0.8347
2 As 0.0000 0.0000 0.8324
3 Cd 0.3333 0.6667 0.3329

Values from the calculation:
Energy relative to the lowest polymorph listed for this composition   164 meV per atom
Symmetry   P3m1, No. 156
Energy of formation from the pure elements   0.101 eV per atom

11.
This record from Alexandria describes a relaxed CdAsIr crystal. The functional is PBE.

Lattice parameters (Å, degrees): 6.7388 6.8871 6.8982 122.09 90.00 90.00
Element x y z (fractional)
1 As 0.7176 0.1021 0.6479
2 As 0.2176 0.3979 0.8521
3 As 0.7176 0.6021 0.1479
4 As 0.2176 0.8979 0.3521
5 Ir 0.0048 0.2170 0.5334
6 Ir 0.5048 0.2830 0.9666
7 Ir 0.5048 0.7830 0.4666
8 Ir 0.0048 0.7170 0.0334
9 Cd 0.2794 0.8885 0.8600
10 Cd 0.7794 0.1115 0.1400
11 Cd 0.7795 0.6116 0.6401
12 Cd 0.2795 0.3884 0.3599

Values from the calculation:
Energy relative to the lowest polymorph listed for this composition   0 meV per atom
Symmetry   P2_1, No. 4
Energy of formation from the pure elements   -0.063 eV per atom

12.
This record from Alexandria describes a relaxed CdAs2Ir crystal. The functional is PBE.

Lattice parameters (Å, degrees): 3.7253 3.7253 7.1695 75.20 75.20 60.15
Element x y z (fractional)
1 Ir 0.2500 0.2500 0.2500
2 As 0.9784 0.9784 0.0601
3 As 0.5216 0.5216 0.4399
4 Cd 0.7500 0.7500 0.7500

Values from the calculation:
Symmetry   C2/m, No. 12
Energy of formation from the pure elements   -0.046 eV per atom